[1]
This record from the Alexandria database describes CuRu2S4 after structural relaxation. The functional is GGA-PBE.

Lattice parameters (Å, degrees): 6.959 6.959 6.959 119.97 119.97 90.05
Fractional positions:
Cu 0.375 0.625 0.750
Cu 0.625 0.375 0.250
Ru 0.000 0.000 0.000
Ru 0.000 0.000 0.500
Ru 0.000 0.500 0.000
Ru 0.500 0.000 0.500
S 0.226 0.242 0.984
S 0.242 0.226 0.484
S 0.242 0.758 0.016
S 0.242 0.758 0.484
S 0.758 0.242 0.516
S 0.758 0.242 0.984
S 0.758 0.774 0.516
S 0.774 0.758 0.016

- E_form (uncorrected): -294 meV per atom
- Mass density: 5.49 g/cm³
- Raw total energy: -5.888 eV/atom
- Total magnetization: 0.000 μB per formula unit
- Symmetry: I4_1/amd
- D(E_F): 16.9 states/eV per cell

=====

[2]
This record from the Alexandria database describes InSF3 after structural relaxation. The functional is GGA-PBE.

Lattice parameters (Å, degrees): 4.232 4.232 4.232 90.00 90.00 90.00
Fractional positions:
In 0.000 0.000 0.000
S 0.500 0.500 0.500
F 0.000 0.500 0.500
F 0.500 0.000 0.500
F 0.500 0.500 0.000

- E_form (uncorrected): -857 meV per atom
- Mass density: 4.47 g/cm³
- Raw total energy: -3.353 eV/atom
- Relative energy among the computed polymorphs: 2.36 eV per formula unit
- Total magnetization: 0.000 μB per formula unit
- Symmetry: Pm-3m
- D(E_F): 1.2 states/eV per cell

=====

[3]
This record from the Alexandria database describes TbPrPt after structural relaxation. The functional is GGA-PBE.

Lattice parameters (Å, degrees): 4.981 4.981 4.981 60.00 60.00 60.00
Fractional positions:
Tb 0.000 0.000 0.000
Pr 0.500 0.500 0.500
Pt 0.750 0.750 0.750

- Mass density: 9.40 g/cm³
- Raw total energy: -5.902 eV/atom
- Relative energy among the computed polymorphs: 0.20 eV per formula unit
- Total magnetization: 0.000 μB per formula unit
- Symmetry: F-43m
- D(E_F): 2.6 states/eV per cell